A relaxed structure of MnSb2Pd8, computed with GGA-PBE.

abc: 14.437 4.404 6.488
angles: 90.00 116.63 90.00
Space group Cm (No. 8)
Unique sites:
Mn 0.000 0.000 0.000
Sb 0.153 0.500 0.594
Sb 0.348 0.000 0.288
Pd 0.000 0.000 0.412
Pd 0.000 0.500 0.704
Pd 0.131 0.500 0.152
Pd 0.156 0.000 0.885
Pd 0.201 0.000 0.431
Pd 0.299 0.500 0.031
Pd 0.344 0.500 0.572
Pd 0.369 0.000 0.889

Calculated values
Energy relative to the elements, uncorrected, eV per formula unit: -3.4
Energy above the lowest structure with this stoichiometry, meV per atom: 0.0
Calculated volume, Å³/cell: 368.7

A relaxed structure of BaCd2Pt, computed with GGA-PBE.

abc: 4.680 4.680 9.550
angles: 90.00 90.00 90.00
Space group I4/mmm (No. 139)
Unique sites:
Ba 0.000 0.000 0.000
Cd 0.000 0.500 0.250
Pt 0.000 0.000 0.500

Calculated values
DFT formation energy, eV per formula unit: -0.8
Calculated volume, Å³/cell: 209.2

A relaxed structure of BeIr2W, computed with GGA-PBE.

abc: 2.819 2.819 6.619
angles: 90.00 90.00 90.00
Space group P4/mmm (No. 123)
Unique sites:
Be 0.000 0.000 0.000
Ir 0.500 0.500 0.216
W 0.000 0.000 0.500

Calculated values
DFT formation energy, eV per formula unit: -1.9
Calculated volume, Å³/cell: 52.6

Which of these has the highest calculated volume?
MnSb2Pd8

Number 3 is which compound?
BeIr2W

What is the calculated volume in the third record?
52.6 Å³/cell